The following is a DFT calculation (GGA-PBE) of crystalline TaZn2W at its relaxed geometry.

```
TaZn2W
1.0
-1.0342 0.4959 -9.3807
-1.8907 -2.1864 -8.9977
-3.7344 -0.0473 -8.6814
Zn W Ta
2 1 1
Direct
0.9984 0.9984 0.9984
0.2534 0.2534 0.2534
0.7463 0.7463 0.7463
0.5020 0.5020 0.5020
```

Values from the calculation:
The value obtained for the formation energy is 0.2192 eV/atom. The total energy is -0.487 Ry per atom. The energy above the most stable polymorph in this dataset is 140 meV/atom.